Record 1
Entry from Alexandria: crystalline TlNi2Ir at its relaxed geometry (PBE-GGA).

The space group is P4/mmm (No. 123) and the conventional cell measures 3.941, 3.941 and 3.765 Å, with angles of 90.00, 90.00 and 90.00 degrees. The distinct sites, in fractional coordinates, are Tl at (0.000, 0.000, 0.000), Ni at (0.000, 0.500, 0.500) and Ir at (0.500, 0.500, 0.000).

For the energy, the calculation gives -5.374 eV per atom. The value obtained for the density of states at the Fermi level is 5.57 states/eV/f.u. For the calculated formation energy, the calculation gives 0.32 eV per atom. As for the energy above the most stable polymorph in this dataset: 0.029 eV/atom.



Record 2
Entry from Alexandria: crystalline Na4TeRh3S8 at its relaxed geometry (PBE-GGA).

The space group is R-3m (No. 166, hexagonal axes) and the conventional cell measures 7.4602, 7.4602 and 19.3397 Å, with angles of 90.00, 90.00 and 120.00 degrees. The distinct sites, in fractional coordinates, are Na at (0.0000, 0.0000, 0.0000), Na at (0.0000, 0.5000, 0.0000), Te at (0.0000, 0.0000, 0.5000), Rh at (0.0000, 0.5000, 0.5000), S at (0.0000, 0.0000, 0.2282) and S at (0.0274, 0.5137, 0.7666).

For the energy, the calculation gives -4.554 eV per atom. The value obtained for the density of states at the Fermi level is 5.96 states/eV/f.u. Its uncorrected formation energy is -0.59 eV/atom.



Record 3
Entry from Alexandria: crystalline CaZr2HgPd at its relaxed geometry (PBE-GGA).

The space group is P4/mmm (No. 123) and the conventional cell measures 5.093, 5.093 and 5.437 Å, with angles of 90.00, 90.00 and 90.00 degrees. The distinct sites, in fractional coordinates, are Ca at (0.000, 0.000, 0.000), Zr at (0.000, 0.500, 0.500), Hg at (0.500, 0.500, 0.000) and Pd at (0.000, 0.000, 0.500).

For the energy, the calculation gives -4.674 eV per atom. The value obtained for the density of states at the Fermi level is 9.51 states/eV/f.u. For the calculated formation energy, the calculation gives 0.24 eV per atom.



Record 4
Entry from Alexandria: crystalline Pr5BS4 at its relaxed geometry (PBE-GGA).

The space group is I4/m (No. 87) and the conventional cell measures 9.174, 9.174 and 5.780 Å, with angles of 90.00, 90.00 and 90.00 degrees. The distinct sites, in fractional coordinates, are Pr at (0.000, 0.000, 0.000), Pr at (0.094, 0.715, 0.500), B at (0.000, 0.000, 0.500) and S at (0.098, 0.699, 0.000).

For the energy, the calculation gives -6.365 eV per atom. The value obtained for the density of states at the Fermi level is 3.33 states/eV/f.u. Its uncorrected formation energy is -1.66 eV/atom.



Record 5
Entry from Alexandria: crystalline Mg2TaP at its relaxed geometry (PBE-GGA).

The space group is R-3m (No. 166, hexagonal axes) and the conventional cell measures 3.0257, 3.0257 and 27.3729 Å, with angles of 90.00, 90.00 and 120.00 degrees. The distinct sites, in fractional coordinates, are Mg at (0.0000, 0.0000, 0.2428), Ta at (0.0000, 0.0000, 0.0000) and P at (0.0000, 0.0000, 0.5000).

For the energy, the calculation gives -4.953 eV per atom. The value obtained for the density of states at the Fermi level is 5.01 states/eV/f.u. For the calculated formation energy, the calculation gives 0.16 eV per atom.